First-principles (GGA+U) data for an optimized crystal structure of MoH3O, as listed in the Alexandria database.

a b c (Å): 3.6066 3.6066 3.6066
angles (deg): 90.00 90.00 90.00
Last column: nearest neighbours and their distance in Å.
Element x y z (fractional)
Mo: 0.0000 0.0000 0.0000  6 H 1.80
H: 0.0000 0.0000 0.5000  2 Mo 1.80
H: 0.0000 0.5000 0.0000  2 Mo 1.80
H: 0.5000 0.0000 0.0000  2 Mo 1.80
O: 0.5000 0.5000 0.5000  12 H 2.55

As for the total energy: -0.129 hartree per atom. Its magnetization is 3.4 Bohr magnetons per cell.